*1*
AlSiNi4: relaxed, PBE.

It has space group C2/m (No. 12), with a = 6.608 Å, b = 3.814 Å, c = 6.574 Å, α = 90.00°, β = 109.75° and γ = 90.00°. The inequivalent atoms are Al at (0.000, 0.000, 0.000), Si at (0.000, 0.500, 0.500), Ni at (0.121, 0.500, 0.865) and Ni at (0.129, 0.000, 0.387).

=====

*2*
AlSiNi4: relaxed, PBE.

It has space group C2/m (No. 12), with a = 9.017 Å, b = 2.778 Å, c = 5.716 Å, α = 90.00°, β = 108.61° and γ = 90.00°. The inequivalent atoms are Al at (0.000, 0.000, 0.000), Si at (0.000, 0.000, 0.500), Ni at (0.152, 0.500, 0.342) and Ni at (0.162, 0.500, 0.816).

=====

Which structure is the least stable? The one labeled *1*.